Below is a relaxed TbPm5Nd2In crystal, with properties calculated at the GGA-PBE level.

Output
energy relative to the elements	-16	meV/atom

Geometry as POSCAR:
```
TbPm5Nd2In
1.0
2.770 -10.103 0.000
2.770 10.103 0.000
0.000 0.000 10.852
Tb Pm Nd In
2 10 4 2
direct
0.200 0.800 0.750 Tb
0.800 0.200 0.250 Tb
0.013 0.987 0.750 Pm
0.290 0.710 0.051 Pm
0.290 0.710 0.449 Pm
0.381 0.619 0.750 Pm
0.500 0.500 0.000 Pm
0.500 0.500 0.500 Pm
0.619 0.381 0.250 Pm
0.710 0.290 0.551 Pm
0.710 0.290 0.949 Pm
0.987 0.013 0.250 Pm
0.116 0.884 0.045 Nd
0.116 0.884 0.455 Nd
0.884 0.116 0.545 Nd
0.884 0.116 0.955 Nd
0.406 0.594 0.250 In
0.594 0.406 0.750 In
```


Below is a relaxed Cu2ReRu crystal, with properties calculated at the GGA-PBE level.

Output
energy relative to the elements	234	meV/atom
relative energy among the computed polymorphs	101	meV/atom

Geometry as POSCAR:
```
Cu2ReRu
1.0
-1.888 1.888 3.706
1.888 -1.888 3.706
1.888 1.888 -3.706
Cu Re Ru
2 1 1
direct
0.000 0.000 0.000 Cu
0.750 0.250 0.500 Cu
0.250 0.750 0.500 Re
0.500 0.500 0.000 Ru
```


Below is a relaxed PmAg3Pb3 crystal, with properties calculated at the GGA-PBE level.

Output
energy relative to the elements	449	meV/atom

Geometry as POSCAR:
```
PmAg3Pb3
1.0
7.747 0.000 0.000
0.000 7.747 0.000
0.000 0.000 7.747
Pm Ag Pb
2 6 6
direct
0.000 0.000 0.000 Pm
0.500 0.500 0.500 Pm
0.000 0.250 0.500 Ag
0.000 0.750 0.500 Ag
0.250 0.500 0.000 Ag
0.500 0.000 0.250 Ag
0.500 0.000 0.750 Ag
0.750 0.500 0.000 Ag
0.000 0.500 0.250 Pb
0.000 0.500 0.750 Pb
0.250 0.000 0.500 Pb
0.500 0.250 0.000 Pb
0.500 0.750 0.000 Pb
0.750 0.000 0.500 Pb
```


Below is a relaxed Ba2CaCd3 crystal, with properties calculated at the GGA-PBE level.

Output
energy relative to the elements	-320	meV/atom
relative energy among the computed polymorphs	0	meV/atom

Geometry as POSCAR:
```
Ba2CaCd3
1.0
4.132 0.000 0.000
0.000 4.132 0.000
0.000 0.000 12.295
Ba Ca Cd
2 1 3
direct
0.000 0.000 0.179 Ba
0.000 0.000 0.821 Ba
0.000 0.000 0.500 Ca
0.500 0.500 0.000 Cd
0.500 0.500 0.362 Cd
0.500 0.500 0.638 Cd
```


Below is a relaxed WAuCl2 crystal, with properties calculated at the GGA-PBE level.

Output
E_form (uncorrected)	1.10	eV per atom
relative energy among the computed polymorphs	1161	meV/atom

Geometry as POSCAR:
```
WAuCl2
1.0
0.000 3.275 3.275
3.275 0.000 3.275
3.275 3.275 0.000
W Au Cl
1 1 2
direct
0.000 0.000 0.000 W
0.500 0.500 0.500 Au
0.250 0.250 0.250 Cl
0.750 0.750 0.750 Cl
```


Below is a relaxed K2LaZn crystal, with properties calculated at the GGA-PBE level.

Output
energy relative to the elements	181	meV/atom
relative energy among the computed polymorphs	115	meV/atom

Geometry as POSCAR:
```
K2LaZn
1.0
2.046 1.181 12.486
-2.046 1.181 12.486
0.000 -2.363 12.486
K La Zn
2 1 1
direct
0.000 0.000 0.000 K
0.222 0.222 0.222 K
0.454 0.454 0.454 La
0.735 0.735 0.735 Zn
```


So what do the calculations give for DOS(E_F)? Going down the list: 25.950, 2.258, 7.893, 4.402, 2.448, 5.990 states/eV/cell.